# ZrAs, optimized geometry, DFT GGA-PBE
data_ZrAs
_cell_length_a 6.696
_cell_length_b 6.696
_cell_length_c 6.696
_cell_angle_alpha 99.06
_cell_angle_beta 99.06
_cell_angle_gamma 133.23
_symmetry_space_group_name_H-M 'P 1'
_symmetry_Int_Tables_number 1
_symmetry_space_group_name_Hall 'P 1'
loop_
_atom_site_label
_atom_site_type_symbol
_atom_site_fract_x
_atom_site_fract_y
_atom_site_fract_z
Zr1 Zr 0.112 0.325 0.437
Zr2 Zr 0.325 0.888 0.213
Zr3 Zr 0.675 0.112 0.787
Zr4 Zr 0.888 0.675 0.563
As1 As 0.214 0.603 0.817
As2 As 0.397 0.214 0.611
As3 As 0.603 0.786 0.389
As4 As 0.786 0.397 0.183
# * energy: -7.457 eV/atom
# * space-group type: I4/m (87)
# * formation enthalpy at 0 K: -1.72 eV/f.u.
# * V: 25.1 Å³ per atom

***

# NpTaVRu, optimized geometry, DFT GGA-PBE
data_NpTaVRu
_cell_length_a 4.546
_cell_length_b 4.546
_cell_length_c 4.546
_cell_angle_alpha 60.00
_cell_angle_beta 60.00
_cell_angle_gamma 60.00
_symmetry_space_group_name_H-M 'P 1'
_symmetry_Int_Tables_number 1
_symmetry_space_group_name_Hall 'P 1'
loop_
_atom_site_label
_atom_site_type_symbol
_atom_site_fract_x
_atom_site_fract_y
_atom_site_fract_z
Np1 Np 0.000 0.000 0.000
Ta1 Ta 0.250 0.250 0.250
V1 V 0.750 0.750 0.750
Ru1 Ru 0.500 0.500 0.500
# * energy: -10.523 eV/atom
# * space-group type: F-43m (216)
# * formation enthalpy at 0 K: 1.10 eV/f.u.
# * V: 16.6 Å³ per atom

***

# CeDy2Th, optimized geometry, DFT GGA-PBE
data_CeDy2Th
_cell_length_a 11.744
_cell_length_b 11.744
_cell_length_c 11.744
_cell_angle_alpha 17.26
_cell_angle_beta 17.26
_cell_angle_gamma 17.26
_symmetry_space_group_name_H-M 'P 1'
_symmetry_Int_Tables_number 1
_symmetry_space_group_name_Hall 'P 1'
loop_
_atom_site_label
_atom_site_type_symbol
_atom_site_fract_x
_atom_site_fract_y
_atom_site_fract_z
Ce1 Ce 0.000 0.000 0.000
Dy1 Dy 0.415 0.415 0.415
Dy2 Dy 0.585 0.585 0.585
Th1 Th 0.834 0.834 0.834
# * energy: -5.567 eV/atom
# * space-group type: R3m (160)
# * formation enthalpy at 0 K: 0.29 eV/f.u.
# * V: 31.1 Å³ per atom
# * ΔE to the lowest computed polymorph: 24 meV/atom

***

# BaScCr2, optimized geometry, DFT GGA-PBE
data_BaScCr2
_cell_length_a 7.379
_cell_length_b 7.379
_cell_length_c 7.379
_cell_angle_alpha 33.96
_cell_angle_beta 33.96
_cell_angle_gamma 33.96
_symmetry_space_group_name_H-M 'P 1'
_symmetry_Int_Tables_number 1
_symmetry_space_group_name_Hall 'P 1'
loop_
_atom_site_label
_atom_site_type_symbol
_atom_site_fract_x
_atom_site_fract_y
_atom_site_fract_z
Ba1 Ba 0.000 0.000 0.000
Sc1 Sc 0.812 0.812 0.812
Cr1 Cr 0.214 0.214 0.214
Cr2 Cr 0.541 0.541 0.541
# * energy: -6.346 eV/atom
# * space-group type: R3m (160)
# * formation enthalpy at 0 K: 2.12 eV/f.u.
# * V: 27.9 Å³ per atom
# * ΔE to the lowest computed polymorph: 0 meV/atom

***

# Pr4RuSI2, optimized geometry, DFT GGA-PBE
data_Pr4RuSI2
_cell_length_a 7.547
_cell_length_b 4.145
_cell_length_c 8.287
_cell_angle_alpha 90.00
_cell_angle_beta 106.12
_cell_angle_gamma 90.00
_symmetry_space_group_name_H-M 'P 1'
_symmetry_Int_Tables_number 1
_symmetry_space_group_name_Hall 'P 1'
loop_
_atom_site_label
_atom_site_type_symbol
_atom_site_fract_x
_atom_site_fract_y
_atom_site_fract_z
Pr1 Pr 0.215 0.000 0.188
Pr2 Pr 0.262 0.500 0.813
Pr3 Pr 0.738 0.500 0.187
Pr4 Pr 0.785 0.000 0.812
Ru1 Ru 0.000 0.500 0.000
S1 S 0.500 0.000 0.000
I1 I 0.000 0.000 0.500
I2 I 0.500 0.500 0.500
# * energy: -5.509 eV/atom
# * space-group type: P2/m (10)
# * V: 31.1 Å³ per atom
# * formation energy (no corrections): -1.06 eV/atom

***

# Ba2CdPd, optimized geometry, DFT GGA-PBE
data_Ba2CdPd
_cell_length_a 11.287
_cell_length_b 11.287
_cell_length_c 11.287
_cell_angle_alpha 23.13
_cell_angle_beta 23.13
_cell_angle_gamma 23.13
_symmetry_space_group_name_H-M 'P 1'
_symmetry_Int_Tables_number 1
_symmetry_space_group_name_Hall 'P 1'
loop_
_atom_site_label
_atom_site_type_symbol
_atom_site_fract_x
_atom_site_fract_y
_atom_site_fract_z
Ba1 Ba 0.113 0.113 0.113
Ba2 Ba 0.887 0.887 0.887
Cd1 Cd 0.000 0.000 0.000
Pd1 Pd 0.500 0.500 0.500
# * energy: -2.644 eV/atom
# * space-group type: R-3m (166)
# * formation enthalpy at 0 K: -0.62 eV/f.u.
# * V: 48.7 Å³ per atom

***

# CeMgZn2Au2, optimized geometry, DFT GGA-PBE
data_CeMgZn2Au2
_cell_length_a 4.543
_cell_length_b 4.543
_cell_length_c 6.791
_cell_angle_alpha 90.00
_cell_angle_beta 90.00
_cell_angle_gamma 120.00
_symmetry_space_group_name_H-M 'P 1'
_symmetry_Int_Tables_number 1
_symmetry_space_group_name_Hall 'P 1'
loop_
_atom_site_label
_atom_site_type_symbol
_atom_site_fract_x
_atom_site_fract_y
_atom_site_fract_z
Ce1 Ce 0.000 0.000 0.000
Mg1 Mg 0.000 0.000 0.500
Zn1 Zn 0.333 0.667 0.707
Zn2 Zn 0.667 0.333 0.293
Au1 Au 0.333 0.667 0.279
Au2 Au 0.667 0.333 0.721
# * energy: -3.267 eV/atom
# * space-group type: P-3m1 (164)
# * formation enthalpy at 0 K: -2.97 eV/f.u.
# * V: 20.2 Å³ per atom

***

# CeCN2, optimized geometry, DFT GGA-PBE
data_CeCN2
_cell_length_a 11.979
_cell_length_b 3.787
_cell_length_c 4.915
_cell_angle_alpha 90.00
_cell_angle_beta 90.00
_cell_angle_gamma 90.00
_symmetry_space_group_name_H-M 'P 1'
_symmetry_Int_Tables_number 1
_symmetry_space_group_name_Hall 'P 1'
loop_
_atom_site_label
_atom_site_type_symbol
_atom_site_fract_x
_atom_site_fract_y
_atom_site_fract_z
Ce1 Ce 0.139 0.250 0.069
Ce2 Ce 0.361 0.750 0.569
Ce3 Ce 0.639 0.250 0.431
Ce4 Ce 0.861 0.750 0.931
C1 C 0.138 0.750 0.634
C2 C 0.362 0.250 0.134
C3 C 0.638 0.750 0.866
C4 C 0.862 0.250 0.366
N1 N 0.050 0.750 0.788
N2 N 0.165 0.750 0.376
N3 N 0.335 0.250 0.876
N4 N 0.450 0.250 0.288
N5 N 0.550 0.750 0.712
N6 N 0.665 0.750 0.124
N7 N 0.835 0.250 0.624
N8 N 0.950 0.250 0.212
# * energy: -8.623 eV/atom
# * space-group type: Pnma (62)
# * V: 13.9 Å³ per atom
# * formation energy (no corrections): -0.67 eV/atom

***

| no. | size of the total moment (μB per cell) |
| --- | --- |
| 1 | 0.000 |
| 2 | 3.070 |
| 3 | 0.564 |
| 4 | 0.771 |
| 5 | 0.000 |
| 6 | 0.000 |
| 7 | 0.905 |
| 8 | 0.567 |